! NiSOF2 | Alexandria | GGA+U | relaxed; values from VASP
! symmetry = P4/mmm (123)
! energy relative to the lowest polymorph listed for this composition = 0 meV per atom
! DOS at the Fermi energy = 2.42 states/eV/cell
&SYSTEM
  ibrav = 0, nat = 5, ntyp = 4
/
ATOMIC_SPECIES
S 32.06 S.upf
O 16.00 O.upf
F 19.00 F.upf
Ni 58.69 Ni.upf
ATOMIC_POSITIONS crystal
S 0.500 0.500 0.500
O 0.000 0.000 0.500
F 0.500 0.000 0.000
Ni 0.000 0.000 0.000
F 0.000 0.500 0.000
CELL_PARAMETERS angstrom
-2.394 -2.517 -1.550
2.152 -0.116 -3.134
2.263 -3.183 1.672